Material: AlMoW2O
Method: DFT, PBE+U
State: relaxed

The structure belongs to space group P4/mmm (No. 123); the cell edges are 4.8547, 4.8547 and 4.9440 Å and the angles 90.00°, 90.00° and 90.00°. The asymmetric unit holds Al at (0.0000, 0.0000, 0.0000), Mo at (0.0000, 0.0000, 0.5000), W at (0.0000, 0.5000, 0.0000) and O at (0.5000, 0.5000, 0.5000).

The calculation puts the total energy at -18.2 eV/f.u. The crystal system is tetragonal.